# ZnHIr2

Crystalline ZnHIr2 at its relaxed geometry (GGA-PBE, Alexandria).

The structure in POSCAR format:
```
ZnHIr2
1.0
-1.090 -0.257 -2.551
0.125 -2.446 -1.329
-6.298 -2.692 1.441
H Zn Ir
1 1 2
direct
0.000 0.000 0.000
0.500 0.500 0.500
0.729 0.729 0.814
0.271 0.271 0.186
```

polymorph energy (0 for the lowest one) = 0.000 eV per atom
total energy = -21.98 eV/f.u.
space-group type = R-3m



# ZnHIr3

Crystalline ZnHIr3 at its relaxed geometry (GGA-PBE, Alexandria).

The structure in POSCAR format:
```
ZnHIr3
1.0
4.570 0.000 0.000
0.000 4.570 0.000
0.000 0.000 4.570
H Zn Ir
1 1 3
direct
0.500 0.500 0.500
0.000 0.000 0.000
0.000 0.500 0.000
0.000 0.000 0.500
0.500 0.000 0.000
```

polymorph energy (0 for the lowest one) = 2.199 eV per atom
total energy = -19.58 eV/f.u.
space-group type = Pm-3m



# Zn2H4Ir

Crystalline Zn2H4Ir at its relaxed geometry (GGA-PBE, Alexandria).

The structure in POSCAR format:
```
Zn2H4Ir
1.0
-1.663 -0.521 6.560
-2.956 -1.582 -5.902
3.366 -0.878 0.926
Zn H Ir
2 4 1
direct
0.896 0.383 0.774
0.390 0.877 0.774
0.028 0.913 0.941
0.698 0.537 0.235
0.795 0.891 0.236
0.345 0.441 0.236
0.846 0.957 0.804
```

total energy = -23.53 eV/f.u.
space-group type = Cm



# ZnH5Ir

Crystalline ZnH5Ir at its relaxed geometry (GGA-PBE, Alexandria).

The structure in POSCAR format:
```
ZnH5Ir
1.0
4.501 -0.432 1.176
-0.603 4.481 1.176
0.546 0.567 6.144
Zn H Ir
2 10 2
direct
0.061 0.439 0.250
0.939 0.561 0.750
0.181 0.147 0.151
0.305 0.775 0.499
0.647 0.681 0.651
0.633 0.867 0.250
0.725 0.195 0.001
0.275 0.805 0.999
0.367 0.133 0.750
0.353 0.319 0.349
0.695 0.225 0.501
0.819 0.853 0.849
0.000 0.000 0.000
0.500 0.500 0.500
```

total energy = -27.08 eV/f.u.
space-group type = C2/c



# Zn2HIr

Crystalline Zn2HIr at its relaxed geometry (GGA-PBE, Alexandria).

The structure in POSCAR format:
```
Zn2HIr
1.0
2.772 0.000 -0.741
-0.415 3.927 -1.552
-0.222 -0.449 4.724
Zn H Ir
2 1 1
direct
0.975 0.975 0.951
0.777 0.277 0.553
0.560 0.560 0.121
0.188 0.688 0.375
```

polymorph energy (0 for the lowest one) = 0.000 eV per atom
total energy = -15.24 eV/f.u.
space-group type = Imm2



# ZnH3Ir

Crystalline ZnH3Ir at its relaxed geometry (GGA-PBE, Alexandria).

The structure in POSCAR format:
```
ZnH3Ir
1.0
-2.930 1.200 -1.496
0.689 -1.890 -2.866
-1.789 -2.692 1.345
H Zn Ir
3 1 1
direct
0.000 0.500 0.000
0.000 0.000 0.500
0.500 0.000 0.000
0.500 0.500 0.500
0.000 0.000 0.000
```

polymorph energy (0 for the lowest one) = 0.130 eV per atom
total energy = -19.25 eV/f.u.
space-group type = Pm-3m



# Zr2ZnHIr

Crystalline Zr2ZnHIr at its relaxed geometry (GGA-PBE, Alexandria).

The structure in POSCAR format:
```
Zr2ZnHIr
1.0
-2.429 -0.111 -3.809
1.696 -3.165 -0.990
-3.207 -2.380 2.115
H Zn Ir Zr
1 1 1 2
direct
0.000 0.000 0.000
0.500 0.500 0.500
0.000 0.500 0.000
0.000 0.000 0.500
0.500 0.000 0.000
```

polymorph energy (0 for the lowest one) = 0.000 eV per atom
total energy = -32.79 eV/f.u.
space-group type = P4/mmm



# Zr2ZnHIr

Crystalline Zr2ZnHIr at its relaxed geometry (GGA-PBE, Alexandria).

The structure in POSCAR format:
```
Zr2ZnHIr
1.0
4.346 0.000 0.000
0.000 4.346 0.000
0.000 0.000 3.935
H Zn Ir Zr
1 1 1 2
direct
0.000 0.000 0.000
0.000 0.000 0.500
0.500 0.500 0.500
0.000 0.500 0.000
0.500 0.000 0.000
```

polymorph energy (0 for the lowest one) = 0.047 eV per atom
total energy = -32.55 eV/f.u.
space-group type = P4/mmm